Material: TaBC
Method: DFT, GGA-PBE
State: optimized geometry

a = 3.0527 Å, b = 3.0527 Å, c = 7.5464 Å
α = 102.26°, β = 102.26°, γ = 88.26°
Fractional positions:
B 0.8129 0.8129 0.4995
B 0.1871 0.1871 0.5005
C 0.6768 0.6768 0.8543
C 0.3232 0.3232 0.1457
Ta 0.1645 0.1645 0.8296
Ta 0.8355 0.8355 0.1704

Properties
ΔE_f   0.39 eV/atom
Total moment   0.00 μB per cell
Volume   67.1 Å³ per cell

***

Material: ZrTl2Tc
Method: DFT, GGA-PBE
State: optimized geometry

a = 4.8520 Å, b = 4.8520 Å, c = 4.8520 Å
α = 60.00°, β = 60.00°, γ = 60.00°
Fractional positions:
Tl 0.2500 0.2500 0.2500
Tl 0.7500 0.7500 0.7500
Tc 0.5000 0.5000 0.5000
Zr 0.0000 0.0000 0.0000

Properties
ΔE_f   0.37 eV/atom
Total moment   0.00 μB per cell
Volume   80.8 Å³ per cell

***

Material: Sr2AlAu
Method: DFT, GGA-PBE
State: optimized geometry

a = 8.7138 Å, b = 5.5586 Å, c = 3.8244 Å
α = 90.08°, β = 63.86°, γ = 129.22°
Fractional positions:
Sr 0.0000 0.0000 0.0000
Sr 0.5000 0.0000 0.5000
Au 0.5000 0.5000 0.0000
Al 0.0000 0.5000 0.5000

Properties
ΔE_f   -0.38 eV/atom
Total moment   0.00 μB per cell
Volume   118.2 Å³ per cell

***

Material: La2MgIn2
Method: DFT, GGA-PBE
State: optimized geometry

a = 5.0859 Å, b = 6.3224 Å, c = 10.5560 Å
α = 92.98°, β = 76.06°, γ = 66.28°
Fractional positions:
La 0.7002 0.2489 0.3506
La 0.8961 0.2787 0.9292
La 0.2998 0.7511 0.6494
La 0.1039 0.7213 0.0708
Mg 0.5850 0.1545 0.6755
Mg 0.4150 0.8455 0.3245
In 0.0495 0.3165 0.5844
In 0.6478 0.8379 0.8665
In 0.9505 0.6835 0.4156
In 0.3522 0.1621 0.1335

Properties
ΔE_f   -0.42 eV/atom
Total moment   0.00 μB per cell
Volume   297.3 Å³ per cell

***

Material: Pr3CoGe
Method: DFT, GGA-PBE
State: optimized geometry

a = 5.2281 Å, b = 5.2281 Å, c = 5.2281 Å
α = 90.00°, β = 90.00°, γ = 90.00°
Fractional positions:
Pr 0.0000 0.5000 0.0000
Pr 0.0000 0.0000 0.5000
Pr 0.5000 0.0000 0.0000
Ge 0.5000 0.5000 0.5000
Co 0.0000 0.0000 0.0000

Properties
ΔE_f   -0.12 eV/atom
Total moment   0.00 μB per cell
Volume   142.9 Å³ per cell

***

Material: SmEr2Zn2Sn2
Method: DFT, GGA-PBE
State: optimized geometry

a = 4.6748 Å, b = 4.6748 Å, c = 9.5566 Å
α = 75.84°, β = 75.84°, γ = 60.00°
Fractional positions:
Sm 0.0000 0.0000 0.0000
Er 0.1321 0.1321 0.6038
Er 0.8679 0.8679 0.3962
Zn 0.5765 0.5765 0.2705
Zn 0.4235 0.4235 0.7295
Sn 0.7344 0.7344 0.7967
Sn 0.2656 0.2656 0.2033

Properties
ΔE_f   -0.33 eV/atom
Total moment   0.00 μB per cell
Volume   173.5 Å³ per cell